DFT (PBE) results for Zr2ZnNi after structural relaxation.

Total magnetic moment: 2.01 μB/f.u.
E_tot: -5.952 eV/atom
Energy relative to the elements: 86 meV/atom

Cell: 4.6365 4.6365 4.6365 Å, 60.00 60.00 60.00°
Fractional coordinates of all 4 atoms:
Zr 0.0000 0.0000 0.0000
Zr 0.2500 0.2500 0.2500
Zn 0.7500 0.7500 0.7500
Ni 0.5000 0.5000 0.5000